[1]
The following is a PBE-GGA calculation of crystalline PmPr3Ge4 at its relaxed geometry, from the Alexandria database.

Crystal system: orthorhombic
Total magnetization: 0.000 Bohr magnetons per cell
Electronic total energy: -42.83 eV/cell
SG: Immm, No. 71

a = 9.0884 Å, b = 9.0884 Å, c = 9.0884 Å
α = 153.36°, β = 137.63°, γ = 50.75°
Sites, in units of the cell vectors:
Pm  0.0000  0.0000  0.0000
Pr  0.1956  0.6956  0.5000
Pr  0.5000  0.5000  0.0000
Pr  0.8044  0.3044  0.5000
Ge  0.1798  0.8696  0.3102
Ge  0.4406  0.1304  0.3102
Ge  0.5594  0.8696  0.6898
Ge  0.8202  0.1304  0.6898



[2]
The following is a PBE-GGA calculation of crystalline Pm8PrGe6 at its relaxed geometry, from the Alexandria database.

Crystal system: trigonal
Total magnetization: 0.000 Bohr magnetons per cell
Electronic total energy: -79.65 eV/cell
SG: R-3, No. 148

a = 9.3669 Å, b = 9.3669 Å, c = 9.3669 Å
α = 50.31°, β = 50.31°, γ = 50.31°
Sites, in units of the cell vectors:
Pm  0.0493  0.7131  0.3815
Pm  0.1667  0.1667  0.1667
Pm  0.2869  0.6185  0.9507
Pm  0.3815  0.0493  0.7131
Pm  0.6185  0.9507  0.2869
Pm  0.7131  0.3815  0.0493
Pm  0.8333  0.8333  0.8333
Pm  0.9507  0.2869  0.6185
Pr  0.5000  0.5000  0.5000
Ge  0.0944  0.4293  0.7656
Ge  0.2344  0.9056  0.5707
Ge  0.4293  0.7656  0.0944
Ge  0.5707  0.2344  0.9056
Ge  0.7656  0.0944  0.4293
Ge  0.9056  0.5707  0.2344



[3]
The following is a PBE-GGA calculation of crystalline PmPr2Ge at its relaxed geometry, from the Alexandria database.

Crystal system: trigonal
Total magnetization: 0.012 Bohr magnetons per cell
Electronic total energy: -19.78 eV/cell
SG: R3m, No. 160
Relative energy among the computed polymorphs: 213 meV/atom

a = 9.6320 Å, b = 9.6320 Å, c = 9.6320 Å
α = 24.65°, β = 24.65°, γ = 24.65°
Sites, in units of the cell vectors:
Pm  0.0000  0.0000  0.0000
Pr  0.2307  0.2307  0.2307
Pr  0.4383  0.4383  0.4383
Ge  0.8351  0.8351  0.8351



[4]
The following is a PBE-GGA calculation of crystalline Pm5PrGe4 at its relaxed geometry, from the Alexandria database.

Crystal system: monoclinic
Total magnetization: 0.000 Bohr magnetons per cell
Electronic total energy: -53.28 eV/cell
SG: C2/m, No. 12

a = 8.2382 Å, b = 8.2382 Å, c = 7.0416 Å
α = 90.31°, β = 90.31°, γ = 36.52°
Sites, in units of the cell vectors:
Pm  0.0000  0.0000  0.0000
Pm  0.3347  0.3347  0.9894
Pm  0.3355  0.3355  0.5067
Pm  0.6645  0.6645  0.4933
Pm  0.6653  0.6653  0.0106
Pr  0.0000  0.0000  0.5000
Ge  0.1792  0.1792  0.2495
Ge  0.4901  0.4901  0.2461
Ge  0.5099  0.5099  0.7539
Ge  0.8208  0.8208  0.7505



[5]
The following is a PBE-GGA calculation of crystalline Pm3PrGe at its relaxed geometry, from the Alexandria database.

Crystal system: orthorhombic
Total magnetization: 0.000 Bohr magnetons per cell
Electronic total energy: -99.59 eV/cell
SG: Pnma, No. 62

a = 6.7495 Å, b = 10.0476 Å, c = 9.3620 Å
α = 90.00°, β = 90.00°, γ = 90.00°
Sites, in units of the cell vectors:
Pm  0.1220  0.0568  0.1823
Pm  0.1220  0.4432  0.1823
Pm  0.2429  0.2500  0.4907
Pm  0.2571  0.7500  0.9907
Pm  0.3780  0.5568  0.6823
Pm  0.3780  0.9432  0.6823
Pm  0.6220  0.0568  0.3177
Pm  0.6220  0.4432  0.3177
Pm  0.7429  0.2500  0.0093
Pm  0.7571  0.7500  0.5093
Pm  0.8780  0.5568  0.8177
Pm  0.8780  0.9432  0.8177
Pr  0.2483  0.2500  0.8686
Pr  0.2517  0.7500  0.3686
Pr  0.7483  0.2500  0.6314
Pr  0.7517  0.7500  0.1314
Ge  0.0000  0.0000  0.5000
Ge  0.0000  0.5000  0.5000
Ge  0.5000  0.0000  0.0000
Ge  0.5000  0.5000  0.0000



[6]
The following is a PBE-GGA calculation of crystalline PmPrGe4 at its relaxed geometry, from the Alexandria database.

Crystal system: cubic
Total magnetization: 0.006 Bohr magnetons per cell
Electronic total energy: -30.24 eV/cell
SG: F-43m, No. 216
Relative energy among the computed polymorphs: 132 meV/atom

a = 5.7331 Å, b = 5.7331 Å, c = 5.7331 Å
α = 60.00°, β = 60.00°, γ = 60.00°
Sites, in units of the cell vectors:
Pm  0.0000  0.0000  0.0000
Pr  0.2500  0.2500  0.2500
Ge  0.1222  0.6259  0.6259
Ge  0.6259  0.1222  0.6259
Ge  0.6259  0.6259  0.1222
Ge  0.6259  0.6259  0.6259



no.,E_form (eV/atom)
1,-0.66
2,-0.61
3,-0.21
4,-0.63
5,-0.25
6,-0.37